No. 1
First-principles (PBE) data for a relaxed structure of Zn2In2O, as listed in Alexandria via LeMat-Bulk.

Computed properties:
Crystal system ... tetragonal

```
data_Zn2In2O
_chemical_formula_sum 'Zn4 In4 O2'
_cell_length_a 5.754
_cell_length_b 5.754
_cell_length_c 5.827
_cell_angle_alpha 90.00
_cell_angle_beta 90.00
_cell_angle_gamma 90.00
_space_group_name_H-M_alt 'P 4/m b m'
_space_group_IT_number 127
_space_group_name_Hall '-P 4 2ab'
loop_
_atom_site_label
_atom_site_fract_x
_atom_site_fract_y
_atom_site_fract_z
Zn1 0.159 0.341 0.000
In1 0.185 0.685 0.500
O1 0.000 0.000 0.000
```

***

No. 2
First-principles (PBE) data for a relaxed structure of ZnInO3, as listed in Alexandria via LeMat-Bulk.

Computed properties:
Crystal system ... cubic

```
data_ZnInO3
_chemical_formula_sum 'Zn1 In1 O3'
_cell_length_a 4.067
_cell_length_b 4.067
_cell_length_c 4.067
_cell_angle_alpha 90.00
_cell_angle_beta 90.00
_cell_angle_gamma 90.00
_space_group_name_H-M_alt 'P m -3 m'
_space_group_IT_number 221
_space_group_name_Hall '-P 4 2 3'
loop_
_atom_site_label
_atom_site_fract_x
_atom_site_fract_y
_atom_site_fract_z
Zn1 0.000 0.000 0.000
In1 0.500 0.500 0.500
O1 0.000 0.500 0.500
```

***

No. 3
First-principles (PBE) data for a relaxed structure of ZnInO2, as listed in Alexandria via LeMat-Bulk.

Computed properties:
Crystal system ... tetragonal
Excess energy over the best structure of this formula in the dataset ... 0 meV/atom

```
data_ZnInO2
_chemical_formula_sum 'Zn4 In4 O8'
_cell_length_a 4.947
_cell_length_b 4.947
_cell_length_c 9.789
_cell_angle_alpha 90.00
_cell_angle_beta 90.00
_cell_angle_gamma 90.00
_space_group_name_H-M_alt 'I -4 2 d'
_space_group_IT_number 122
_space_group_name_Hall 'I -4 2bw'
loop_
_atom_site_label
_atom_site_fract_x
_atom_site_fract_y
_atom_site_fract_z
Zn1 0.000 0.000 0.000
In1 0.000 0.000 0.500
O1 0.220 0.250 0.125
```

***

No. 4
First-principles (PBE) data for a relaxed structure of ZnInO3, as listed in Alexandria via LeMat-Bulk.

Computed properties:
Crystal system ... hexagonal

```
data_ZnInO3
_chemical_formula_sum 'Zn2 In2 O6'
_cell_length_a 5.3398
_cell_length_b 5.3398
_cell_length_c 4.9932
_cell_angle_alpha 90.00
_cell_angle_beta 90.00
_cell_angle_gamma 120.00
_space_group_name_H-M_alt 'P 63 2 2'
_space_group_IT_number 182
_space_group_name_Hall 'P 6c 2c'
loop_
_atom_site_label
_atom_site_fract_x
_atom_site_fract_y
_atom_site_fract_z
Zn1 0.0000 0.0000 0.2500
In1 0.3333 0.6667 0.2500
O1 0.0000 0.3127 0.5000
```

***

No. 5
First-principles (PBE) data for a relaxed structure of ZnInO, as listed in Alexandria via LeMat-Bulk.

Computed properties:
Crystal system ... triclinic
Excess energy over the best structure of this formula in the dataset ... 77 meV/atom

```
data_ZnInO
_chemical_formula_sum 'Zn2 In2 O2'
_cell_length_a 3.326
_cell_length_b 5.514
_cell_length_c 6.182
_cell_angle_alpha 75.52
_cell_angle_beta 78.60
_cell_angle_gamma 78.38
_space_group_name_H-M_alt 'P 1'
_space_group_IT_number 1
_space_group_name_Hall 'P 1'
loop_
_atom_site_label
_atom_site_fract_x
_atom_site_fract_y
_atom_site_fract_z
Zn1 0.000 0.000 0.000
Zn2 0.368 0.471 0.668
In1 0.372 0.972 0.526
In2 0.695 0.548 0.169
O1 0.832 0.374 0.857
O2 0.907 0.123 0.295
```

***

No. 6
First-principles (PBE) data for a relaxed structure of Zn6InO6, as listed in Alexandria via LeMat-Bulk.

Computed properties:
Crystal system ... cubic

```
data_Zn6InO6
_chemical_formula_sum 'Zn6 In1 O6'
_cell_length_a 5.765
_cell_length_b 5.765
_cell_length_c 5.765
_cell_angle_alpha 90.00
_cell_angle_beta 90.00
_cell_angle_gamma 90.00
_space_group_name_H-M_alt 'P m -3'
_space_group_IT_number 200
_space_group_name_Hall '-P 2 2 3'
loop_
_atom_site_label
_atom_site_fract_x
_atom_site_fract_y
_atom_site_fract_z
Zn1 0.000 0.253 0.500
In1 0.000 0.000 0.000
O1 0.000 0.500 0.250
```

***

no.,formation energy without anion corrections (eV per atom),magnetic moment (μB per formula unit)
1,-0.142,0.0
2,-0.324,0.6
3,-1.204,0.0
4,-1.048,1.0
5,-0.699,0.0
6,-1.131,0.0